(1)
! TlFeCl2 (PBE-GGA, optimized geometry); values from VASP
&SYSTEM
  ibrav = 0, nat = 4, ntyp = 3
/
ATOMIC_SPECIES
Tl 204.38 Tl.upf
Fe 55.84 Fe.upf
Cl 35.45 Cl.upf
ATOMIC_POSITIONS angstrom
Tl 0.000 0.000 0.000
Fe 0.000 0.000 13.567
Cl 0.000 0.000 3.308
Cl 0.000 0.000 23.826
CELL_PARAMETERS angstrom
1.717 0.991 9.045
-1.717 0.991 9.045
0.000 -1.983 9.045
! * E_form (uncorrected): -0.2358 eV per atom
! * energy above the lowest structure with this stoichiometry: 205 meV per atom
! * total magnetic moment: 0.2 μB/f.u.

=====

(2)
! TlFe2Cl (PBE-GGA, optimized geometry); values from VASP
&SYSTEM
  ibrav = 0, nat = 4, ntyp = 3
/
ATOMIC_SPECIES
Tl 204.38 Tl.upf
Fe 55.84 Fe.upf
Cl 35.45 Cl.upf
ATOMIC_POSITIONS angstrom
Tl 0.000 0.000 0.000
Fe 1.636 1.636 1.636
Fe 4.909 4.909 4.909
Cl 3.273 3.273 3.273
CELL_PARAMETERS angstrom
0.000 3.273 3.273
3.273 0.000 3.273
3.273 3.273 0.000
! * E_form (uncorrected): 0.7319 eV per atom
! * energy above the lowest structure with this stoichiometry: 587 meV per atom
! * total magnetic moment: 5.4 μB/f.u.

=====

(3)
! Tl5Fe2Cl12 (PBE-GGA, optimized geometry); values from VASP
&SYSTEM
  ibrav = 0, nat = 19, ntyp = 3
/
ATOMIC_SPECIES
Tl 204.38 Tl.upf
Fe 55.84 Fe.upf
Cl 35.45 Cl.upf
ATOMIC_POSITIONS angstrom
Tl 0.000 0.000 0.000
Tl 3.640 0.000 2.444
Tl 2.452 0.000 7.615
Tl 8.889 0.000 3.064
Tl 7.701 0.000 8.235
Fe 5.671 2.978 5.339
Fe 5.671 -2.978 5.339
Cl -2.184 0.000 7.133
Cl 1.730 2.439 9.341
Cl 3.817 1.859 4.919
Cl 9.612 2.439 1.338
Cl 7.524 1.859 5.760
Cl 6.176 0.000 1.825
Cl 5.165 0.000 8.854
Cl 3.817 -1.859 4.919
Cl 1.730 -2.439 9.341
Cl 7.524 -1.859 5.760
Cl 9.612 -2.439 1.338
Cl 13.526 0.000 3.545
CELL_PARAMETERS angstrom
7.452 -4.378 0.000
7.452 4.378 0.000
-3.563 0.000 10.679
! * E_form (uncorrected): -0.8013 eV per atom
! * total magnetic moment: 7.0 μB/f.u.

=====

(4)
! Tl3FeCl4 (PBE-GGA, optimized geometry); values from VASP
&SYSTEM
  ibrav = 0, nat = 16, ntyp = 3
/
ATOMIC_SPECIES
Tl 204.38 Tl.upf
Fe 55.84 Fe.upf
Cl 35.45 Cl.upf
ATOMIC_POSITIONS angstrom
Tl 0.000 0.961 0.000
Tl 2.987 5.002 5.745
Tl 3.001 1.506 2.515
Tl 5.988 5.547 3.230
Tl 8.975 1.506 2.515
Tl 8.989 5.002 5.745
Fe 0.000 5.207 2.014
Fe 5.988 1.302 5.244
Cl 0.000 0.687 3.292
Cl 0.000 4.175 6.366
Cl 2.231 4.600 2.546
Cl 3.757 1.908 5.776
Cl 5.988 2.334 3.137
Cl 5.988 5.821 0.062
Cl 8.219 1.908 5.776
Cl 9.744 4.600 2.546
CELL_PARAMETERS angstrom
11.976 0.000 0.000
0.000 6.508 0.000
0.000 0.000 6.460
! * E_form (uncorrected): -0.7059 eV per atom
! * total magnetic moment: 3.0 μB/f.u.

=====

(5)
! TlFe2Cl (PBE-GGA, optimized geometry); values from VASP
&SYSTEM
  ibrav = 0, nat = 4, ntyp = 3
/
ATOMIC_SPECIES
Tl 204.38 Tl.upf
Fe 55.84 Fe.upf
Cl 35.45 Cl.upf
ATOMIC_POSITIONS angstrom
Tl 0.000 0.000 0.000
Fe 2.062 0.000 2.190
Fe 0.000 2.062 2.190
Cl 0.000 0.000 4.380
CELL_PARAMETERS angstrom
-2.062 2.062 4.380
2.062 -2.062 4.380
2.062 2.062 -4.380
! * E_form (uncorrected): 0.7619 eV per atom
! * energy above the lowest structure with this stoichiometry: 617 meV per atom
! * total magnetic moment: 6.0 μB/f.u.

=====

(6)
! TlFeCl2 (PBE-GGA, optimized geometry); values from VASP
&SYSTEM
  ibrav = 0, nat = 4, ntyp = 3
/
ATOMIC_SPECIES
Tl 204.38 Tl.upf
Fe 55.84 Fe.upf
Cl 35.45 Cl.upf
ATOMIC_POSITIONS angstrom
Tl 0.000 0.000 0.000
Fe 1.898 0.000 6.659
Cl 0.000 0.000 5.332
Cl 1.898 0.000 1.945
CELL_PARAMETERS angstrom
1.898 -2.972 0.000
1.898 2.972 0.000
0.000 0.000 8.840
! * E_form (uncorrected): -0.1789 eV per atom
! * energy above the lowest structure with this stoichiometry: 262 meV per atom
! * total magnetic moment: 3.2 μB/f.u.

=====

Which uncorrected energy belongs to each record? In order, -15.465, -18.211, -66.141, -28.595, -18.091, -15.238 eV per formula unit.